Version A
Below is a geometry-optimized ZrSi2H2 structure, with properties calculated at the PBE-GGA level.

Computed properties:
For the density of states at the Fermi level, the calculation gives 0.38 states/eV/atom.

Cell: 6.9234 6.9234 2.9404 Å, 90.00 90.00 90.00°
Sites, in units of the cell vectors:
Zr 0.0000 0.0000 0.0000
Zr 0.5000 0.5000 0.0000
Si 0.1245 0.3755 0.0000
Si 0.3755 0.8755 0.0000
Si 0.6245 0.1245 0.0000
Si 0.8755 0.6245 0.0000
H 0.2311 0.2689 0.5000
H 0.2689 0.7689 0.5000
H 0.7311 0.2311 0.5000
H 0.7689 0.7311 0.5000

***

Version B
Below is a geometry-optimized ZrSi2H2 structure, with properties calculated at the PBE-GGA level.

Computed properties:
For the density of states at the Fermi level, the calculation gives 0.24 states/eV/atom.

Cell: 4.9443 4.9443 4.9443 Å, 137.19 137.19 62.14°
Sites, in units of the cell vectors:
Zr 0.0000 0.0000 0.0000
Si 0.3469 0.3469 0.0000
Si 0.6531 0.6531 0.0000
H 0.2500 0.7500 0.5000
H 0.7500 0.2500 0.5000

***

Which one sits at the top of the stability order? version B does.

***

Version A
Below is a geometry-optimized Tb2SmH structure, with properties calculated at the PBE-GGA level.

Computed properties:
For the density of states at the Fermi level, the calculation gives 0.84 states/eV/atom.

Cell: 3.3739 3.3739 8.5644 Å, 90.00 90.00 90.00°
Sites, in units of the cell vectors:
Tb 0.0000 0.0000 0.1894
Tb 0.0000 0.0000 0.8106
Sm 0.5000 0.5000 0.5000
H 0.5000 0.5000 0.0000

***

Version B
Below is a geometry-optimized Tb2SmH structure, with properties calculated at the PBE-GGA level.

Computed properties:
For the density of states at the Fermi level, the calculation gives 0.63 states/eV/atom.

Cell: 8.8286 8.8286 8.8286 Å, 23.69 23.69 23.69°
Sites, in units of the cell vectors:
Tb 0.2204 0.2204 0.2204
Tb 0.7796 0.7796 0.7796
Sm 0.0000 0.0000 0.0000
H 0.5000 0.5000 0.5000

***

Which one sits at the top of the stability order? version B does.

***

Version A
Below is a geometry-optimized Sm2TcH structure, with properties calculated at the PBE-GGA level.

Computed properties:
For the density of states at the Fermi level, the calculation gives 0.75 states/eV/atom.

Cell: 7.5654 7.5654 7.5654 Å, 27.00 27.00 27.00°
Sites, in units of the cell vectors:
Sm 0.2399 0.2399 0.2399
Sm 0.7601 0.7601 0.7601
Tc 0.0000 0.0000 0.0000
H 0.5000 0.5000 0.5000

***

Version B
Below is a geometry-optimized Sm2TcH structure, with properties calculated at the PBE-GGA level.

Computed properties:
For the density of states at the Fermi level, the calculation gives 0.39 states/eV/atom.

Cell: 3.3742 3.3742 7.0688 Å, 90.00 90.00 90.00°
Sites, in units of the cell vectors:
Sm 0.0000 0.0000 0.2437
Sm 0.0000 0.0000 0.7563
Tc 0.5000 0.5000 0.0000
H 0.5000 0.5000 0.5000

***

Which one sits at the top of the stability order? version B does.

***

Version A
Below is a geometry-optimized SmThH structure, with properties calculated at the PBE-GGA level.

Computed properties:
For the density of states at the Fermi level, the calculation gives 0.78 states/eV/atom.

Cell: 6.6782 6.6782 6.6782 Å, 150.24 150.24 42.59°
Sites, in units of the cell vectors:
Sm 0.0000 0.0000 0.0000
Th 0.2925 0.2925 0.0000
H 0.4776 0.4776 0.0000

***

Version B
Below is a geometry-optimized SmThH structure, with properties calculated at the PBE-GGA level.

Computed properties:
For the density of states at the Fermi level, the calculation gives 0.78 states/eV/atom.

Cell: 3.6350 3.6350 5.9315 Å, 90.00 90.00 120.00°
Sites, in units of the cell vectors:
Sm 0.0000 0.0000 0.0000
Th 0.6667 0.3333 0.5015
H 0.3333 0.6667 0.7538

***

Which one sits at the top of the stability order? version B does.

***

Version A
Below is a geometry-optimized SmThH2 structure, with properties calculated at the PBE-GGA level.

Computed properties:
For the density of states at the Fermi level, the calculation gives 0.64 states/eV/atom.

Cell: 6.2957 6.2957 6.2957 Å, 33.33 33.33 33.33°
Sites, in units of the cell vectors:
Sm 0.0000 0.0000 0.0000
Th 0.5000 0.5000 0.5000
H 0.2489 0.2489 0.2489
H 0.7511 0.7511 0.7511

***

Version B
Below is a geometry-optimized SmThH2 structure, with properties calculated at the PBE-GGA level.

Computed properties:
For the density of states at the Fermi level, the calculation gives 1.05 states/eV/atom.

Cell: 6.5987 6.5987 6.5987 Å, 30.87 30.87 30.87°
Sites, in units of the cell vectors:
Sm 0.0000 0.0000 0.0000
Th 0.8259 0.8259 0.8259
H 0.4090 0.4090 0.4090
H 0.5872 0.5872 0.5872

***

Which one sits at the top of the stability order? version A does.

***

Version A
Below is a geometry-optimized Sm2TlH structure, with properties calculated at the PBE-GGA level.

Computed properties:
For the density of states at the Fermi level, the calculation gives 1.02 states/eV/atom.

Cell: 3.4490 3.4490 7.6513 Å, 90.00 90.00 90.00°
Sites, in units of the cell vectors:
Sm 0.0000 0.0000 0.2118
Sm 0.0000 0.0000 0.7882
Tl 0.5000 0.5000 0.5000
H 0.5000 0.5000 0.0000

***

Version B
Below is a geometry-optimized Sm2TlH structure, with properties calculated at the PBE-GGA level.

Computed properties:
For the density of states at the Fermi level, the calculation gives 0.71 states/eV/atom.

Cell: 8.2719 8.2719 8.2719 Å, 25.70 25.70 25.70°
Sites, in units of the cell vectors:
Sm 0.2253 0.2253 0.2253
Sm 0.7747 0.7747 0.7747
Tl 0.0000 0.0000 0.0000
H 0.5000 0.5000 0.5000

***

Which one sits at the top of the stability order? version B does.